--- a ---
Entry from Alexandria: a relaxed Tb2Si4Os3 crystal (PBE).

Values from the calculation:
Symmetry = Fmmm
Fermi-level density of states = 8.405 states/eV per cell
Size of the total moment = 0.0 μB/f.u.

a = 5.5449 Å, b = 5.5449 Å, c = 6.5719 Å
α = 102.14°, β = 102.14°, γ = 120.09°
Sites, in units of the cell vectors:
1 Tb 0.3656 0.3656 0.7311
2 Tb 0.6344 0.6344 0.2689
3 Si 0.9793 0.3353 0.3146
4 Si 0.3353 0.9793 0.3146
5 Si 0.0207 0.6647 0.6854
6 Si 0.6647 0.0207 0.6854
7 Os 0.5000 0.0000 0.0000
8 Os 0.0000 0.5000 0.0000
9 Os 0.0000 0.0000 0.0000

=====

--- b ---
Entry from Alexandria: a relaxed Tb2Si4Os3 crystal (PBE).

Values from the calculation:
Symmetry = Cmce
Fermi-level density of states = 10.763 states/eV per cell
Size of the total moment = 0.0 μB/f.u.

a = 5.7775 Å, b = 7.0098 Å, c = 7.8950 Å
α = 90.00°, β = 111.46°, γ = 90.00°
Sites, in units of the cell vectors:
1 Os 0.5000 0.5000 0.0000
2 Os 0.4772 0.2500 0.4544
3 Os 0.0000 0.0000 0.0000
4 Os 0.5228 0.7500 0.5456
5 Os 0.0228 0.7500 0.5456
6 Os 0.9772 0.2500 0.4544
7 Tb 0.6105 0.9072 0.2209
8 Tb 0.3895 0.0928 0.7791
9 Tb 0.8895 0.4072 0.7791
10 Tb 0.1105 0.5928 0.2209
11 Si 0.3112 0.2500 0.1225
12 Si 0.6783 0.5205 0.3565
13 Si 0.3217 0.4795 0.6435
14 Si 0.6888 0.7500 0.8775
15 Si 0.1783 0.9795 0.3565
16 Si 0.1888 0.7500 0.8775
17 Si 0.8217 0.0205 0.6435
18 Si 0.8112 0.2500 0.1225

=====

b is the most stable structure; the next one sits 195 meV per atom above it.

=====

--- a ---
Entry from Alexandria: a relaxed SiTcOs3 crystal (PBE).

Values from the calculation:
Symmetry = Pm-3m
Fermi-level density of states = 3.916 states/eV per cell
Size of the total moment = 2.6 μB/f.u.

a = 4.3480 Å, b = 4.3480 Å, c = 4.3480 Å
α = 90.00°, β = 90.00°, γ = 90.00°
Sites, in units of the cell vectors:
1 Os 0.0000 0.0000 0.5000
2 Os 0.5000 0.0000 0.0000
3 Os 0.0000 0.5000 0.0000
4 Si 0.0000 0.0000 0.0000
5 Tc 0.5000 0.5000 0.5000

=====

--- b ---
Entry from Alexandria: a relaxed SiTcOs3 crystal (PBE).

Values from the calculation:
Symmetry = Pm-3m
Fermi-level density of states = 6.945 states/eV per cell
Size of the total moment = 0.0 μB/f.u.

a = 4.6597 Å, b = 4.6597 Å, c = 4.6597 Å
α = 90.00°, β = 90.00°, γ = 90.00°
Sites, in units of the cell vectors:
1 Os 0.0000 0.0000 0.5000
2 Os 0.0000 0.5000 0.0000
3 Os 0.5000 0.0000 0.0000
4 Si 0.5000 0.5000 0.5000
5 Tc 0.0000 0.0000 0.0000

=====

a is the most stable structure; the next one sits 1029 meV per atom above it.

=====

--- a ---
Entry from Alexandria: a relaxed SiTc2Os2 crystal (PBE).

Values from the calculation:
Symmetry = P4/mbm
Fermi-level density of states = 8.361 states/eV per cell
Size of the total moment = 0.0 μB/f.u.

a = 7.4989 Å, b = 7.4989 Å, c = 2.7813 Å
α = 90.00°, β = 90.00°, γ = 90.00°
Sites, in units of the cell vectors:
1 Tc 0.8361 0.6639 0.0000
2 Tc 0.1639 0.3361 0.0000
3 Tc 0.6639 0.1639 0.0000
4 Tc 0.3361 0.8361 0.0000
5 Si 0.5000 0.5000 0.0000
6 Si 0.0000 0.0000 0.0000
7 Os 0.1272 0.6272 0.5000
8 Os 0.3728 0.1272 0.5000
9 Os 0.8728 0.3728 0.5000
10 Os 0.6272 0.8728 0.5000

=====

--- b ---
Entry from Alexandria: a relaxed SiTc2Os2 crystal (PBE).

Values from the calculation:
Symmetry = I4/mmm
Fermi-level density of states = 5.434 states/eV per cell
Size of the total moment = 0.0 μB/f.u.

a = 3.4605 Å, b = 3.4605 Å, c = 7.1581 Å
α = 76.01°, β = 76.01°, γ = 90.00°
Sites, in units of the cell vectors:
1 Tc 0.4024 0.4024 0.1952
2 Tc 0.5976 0.5976 0.8048
3 Si 0.0000 0.0000 0.0000
4 Os 0.2500 0.7500 0.5000
5 Os 0.7500 0.2500 0.5000

=====

a is the most stable structure; the next one sits 180 meV per atom above it.

=====

--- a ---
Entry from Alexandria: a relaxed SiTc3Os crystal (PBE).

Values from the calculation:
Symmetry = Pm-3m
Fermi-level density of states = 6.287 states/eV per cell
Size of the total moment = 0.0 μB/f.u.

a = 4.3132 Å, b = 4.3132 Å, c = 4.3132 Å
α = 90.00°, β = 90.00°, γ = 90.00°
Sites, in units of the cell vectors:
1 Tc 0.0000 0.0000 0.5000
2 Tc 0.0000 0.5000 0.0000
3 Tc 0.5000 0.0000 0.0000
4 Si 0.0000 0.0000 0.0000
5 Os 0.5000 0.5000 0.5000

=====

--- b ---
Entry from Alexandria: a relaxed SiTc3Os crystal (PBE).

Values from the calculation:
Symmetry = Pm-3m
Fermi-level density of states = 7.136 states/eV per cell
Size of the total moment = 1.9 μB/f.u.

a = 4.6876 Å, b = 4.6876 Å, c = 4.6876 Å
α = 90.00°, β = 90.00°, γ = 90.00°
Sites, in units of the cell vectors:
1 Tc 0.5000 0.0000 0.0000
2 Tc 0.0000 0.5000 0.0000
3 Tc 0.0000 0.0000 0.5000
4 Si 0.5000 0.5000 0.5000
5 Os 0.0000 0.0000 0.0000

=====

a is the most stable structure; the next one sits 788 meV per atom above it.

=====

--- a ---
Entry from Alexandria: a relaxed USiTcOs crystal (PBE).

Values from the calculation:
Symmetry = F-43m
Fermi-level density of states = 5.557 states/eV per cell
Size of the total moment = 1.3 μB/f.u.

a = 4.5523 Å, b = 4.5523 Å, c = 4.5523 Å
α = 60.00°, β = 60.00°, γ = 60.00°
Sites, in units of the cell vectors:
1 Os 0.7500 0.7500 0.7500
2 Si 0.0000 0.0000 0.0000
3 U 0.5000 0.5000 0.5000
4 Tc 0.2500 0.2500 0.2500

=====

--- b ---
Entry from Alexandria: a relaxed USiTcOs crystal (PBE).

Values from the calculation:
Symmetry = Amm2
Fermi-level density of states = 4.743 states/eV per cell
Size of the total moment = 0.6 μB/f.u.

a = 4.4512 Å, b = 3.2875 Å, c = 4.9140 Å
α = 109.54°, β = 90.00°, γ = 90.00°
Sites, in units of the cell vectors:
1 Os 0.5000 0.4889 0.9778
2 U 0.5000 0.2181 0.4362
3 Si 0.0000 0.6179 0.2359
4 Tc 0.0000 0.9028 0.8057

=====

b is the most stable structure; the next one sits 47 meV per atom above it.

=====

--- a ---
Entry from Alexandria: a relaxed SiTeOs crystal (PBE).

Values from the calculation:
Symmetry = I4mm
Fermi-level density of states = 2.299 states/eV per cell
Size of the total moment = 0.0 μB/f.u.

a = 6.3520 Å, b = 6.3521 Å, c = 3.0378 Å
α = 76.16°, β = 76.17°, γ = 27.67°
Sites, in units of the cell vectors:
1 Si 0.3712 0.3712 0.6288
2 Te 0.6468 0.6468 0.3532
3 Os 0.9820 0.9820 0.0180

=====

--- b ---
Entry from Alexandria: a relaxed SiTeOs crystal (PBE).

Values from the calculation:
Symmetry = P3m1
Fermi-level density of states = 2.449 states/eV per cell
Size of the total moment = 0.0 μB/f.u.

a = 3.8030 Å, b = 3.8030 Å, c = 5.2118 Å
α = 90.00°, β = 90.00°, γ = 120.00°
Sites, in units of the cell vectors:
1 Te 0.3333 0.6667 0.7346
2 Si 0.6667 0.3333 0.2171
3 Os 0.0000 0.0000 0.0484

=====

b is the most stable structure; the next one sits 43 meV per atom above it.